[1]
{"formula": "RbTlCl3", "functional": "PBE", "state": "relaxed", "cell": [[5.3931, 0.0000, 0.0503], [0.0000, 8.1706, 0.0000], [-2.7380, 0.0000, 7.7741]], "species": ["Tl", "Tl", "Rb", "Rb", "Cl", "Cl", "Cl", "Cl", "Cl", "Cl"], "frac_coords": [[0.9842, 0.2500, 0.4653], [0.0158, 0.7500, 0.5347], [0.6958, 0.2500, 0.8960], [0.3042, 0.7500, 0.1040], [0.1341, 0.0178, 0.7716], [0.8659, 0.9822, 0.2284], [0.1341, 0.4822, 0.7716], [0.8659, 0.5178, 0.2284], [0.4861, 0.2500, 0.4695], [0.5139, 0.7500, 0.5305]], "vol_a3_per_atom": 34.37, "space_group": "P2_1/m (11)", "n_ef_per_ev_cell": 1.7, "magmom_total_mub_per_fu": 0.00, "formation_energy_uncorrected_mev_per_atom": -1235}



[2]
{"formula": "Y4TcP", "functional": "PBE", "state": "relaxed", "cell": [[0.0000, 4.2250, 4.2250], [4.2250, 0.0000, 4.2250], [4.2250, 4.2250, 0.0000]], "species": ["Y", "Y", "Y", "Y", "Tc", "P"], "frac_coords": [[0.8783, 0.3739, 0.3739], [0.3739, 0.3739, 0.8783], [0.3739, 0.8783, 0.3739], [0.3739, 0.3739, 0.3739], [0.0000, 0.0000, 0.0000], [0.7500, 0.7500, 0.7500]], "vol_a3_per_atom": 25.14, "space_group": "F-43m (216)", "n_ef_per_ev_cell": 7.1, "magmom_total_mub_per_fu": 1.51, "e_form_ev_per_atom": 0.841}